Entry 1:
# PBE KLiTbBr5, optimized geometry
data_KLiTbBr5
_symmetry_space_group_name_H-M 'C 1 2/c 1'
_symmetry_Int_Tables_number 15
_cell_length_a 9.285
_cell_length_b 12.710
_cell_length_c 10.590
_cell_angle_alpha 90.00
_cell_angle_beta 113.44
_cell_angle_gamma 90.00
loop_
_symmetry_equiv_pos_as_xyz
'x,y,z'
'-x,-y,-z'
'-x,y,-z+1/2'
'x,-y,z+1/2'
'x+1/2,y+1/2,z'
'-x+1/2,-y+1/2,-z'
'-x+1/2,y+1/2,-z+1/2'
'x+1/2,-y+1/2,z+1/2'
loop_
_atom_site_label
_atom_site_type_symbol
_atom_site_fract_x
_atom_site_fract_y
_atom_site_fract_z
K1 K 0.000 0.149 0.250
Li1 Li 0.000 0.192 0.750
Tb1 Tb 0.000 0.500 0.000
Br1 Br 0.000 0.417 0.250
Br2 Br 0.115 0.301 0.613
Br3 Br 0.188 0.065 0.930
# DFT total energy	-3.76	eV/atom
# formation energy without anion corrections	-1.763	eV per atom


Entry 2:
# PBE GaRh3Se, optimized geometry
data_GaRh3Se
_symmetry_space_group_name_H-M 'P m -3 m'
_symmetry_Int_Tables_number 221
_symmetry_space_group_name_Hall '-P 4 2 3'
_cell_length_a 4.563
_cell_length_b 4.563
_cell_length_c 4.563
_cell_angle_alpha 90.00
_cell_angle_beta 90.00
_cell_angle_gamma 90.00
loop_
_atom_site_label
_atom_site_type_symbol
_atom_site_fract_x
_atom_site_fract_y
_atom_site_fract_z
Ga1 Ga 0.000 0.000 0.000
Rh1 Rh 0.000 0.500 0.500
Se1 Se 0.500 0.500 0.500
# energy above the lowest structure with this stoichiometry	0	meV per atom
# DFT total energy	-5.24	eV/atom
# formation energy without anion corrections	0.468	eV per atom


Entry 3:
# PBE KCoP, optimized geometry
data_KCoP
_symmetry_space_group_name_H-M 'F -4 3 m'
_symmetry_Int_Tables_number 216
_symmetry_space_group_name_Hall 'F -4 2 3'
_cell_length_a 6.835
_cell_length_b 6.835
_cell_length_c 6.835
_cell_angle_alpha 90.00
_cell_angle_beta 90.00
_cell_angle_gamma 90.00
loop_
_atom_site_label
_atom_site_type_symbol
_atom_site_fract_x
_atom_site_fract_y
_atom_site_fract_z
K1 K 0.000 0.000 0.000
Co1 Co 0.250 0.250 0.250
P1 P 0.250 0.250 0.750
# DFT total energy	-2.93	eV/atom